Record 1
The following is a DFT calculation (GGA-PBE) of a geometry-optimized Zn2SiPb structure.

Lattice parameters (Å, degrees): 4.0799 4.0799 6.1758 69.84 69.84 62.09
Last column: nearest neighbours and their distance in Å.
Element x y z (fractional)
Pb 0.7500 0.7500 0.7500  6 Zn 3.06-3.07
Si 0.2500 0.2500 0.2500  6 Zn 2.53-2.55
Zn 0.9684 0.9684 0.0918  3 Si 2.53-2.55
Zn 0.5316 0.5316 0.4082  3 Si 2.53-2.55

Values from the calculation:
* V: 20.79 Å³/atom
* relative energy among the computed polymorphs: 0.00 eV per formula unit
* symmetry: C2/m (12)
* magnetic moment: 0.00 μB/cell
* uncorrected formation energy: 22.1 kJ/mol of atoms


Record 2
The following is a DFT calculation (GGA-PBE) of a geometry-optimized ZnSi2Pb structure.

Lattice parameters (Å, degrees): 5.2749 5.2749 5.2749 131.35 131.35 71.26
Last column: nearest neighbours and their distance in Å.
Element x y z (fractional)
Pb 0.7500 0.2500 0.5000  8 Si 3.05-3.07, 4 Zn 3.05
Si 0.0000 0.0000 0.0000  4 Pb 3.05, 4 Si 3.05, 4 Zn 3.07
Si 0.2500 0.7500 0.5000  4 Zn 3.05, 4 Si 3.05, 4 Pb 3.07
Zn 0.5000 0.5000 0.0000  8 Si 3.05-3.07, 4 Pb 3.05

Values from the calculation:
* V: 20.24 Å³/atom
* relative energy among the computed polymorphs: 1.31 eV per formula unit
* symmetry: I-4m2 (119)
* magnetic moment: 0.00 μB/cell
* uncorrected formation energy: 56.4 kJ/mol of atoms


Record 3
The following is a DFT calculation (GGA-PBE) of a geometry-optimized ZnSi2Pb structure.

Lattice parameters (Å, degrees): 3.3623 3.6019 6.6740 90.00 90.00 90.00
Last column: nearest neighbours and their distance in Å.
Element x y z (fractional)
Pb 0.5000 0.5000 0.7500  8 Si 3.26, 2 Zn 3.34, 4 Pb 3.36-3.60
Si 0.0000 0.0000 0.0697  1 Si 2.41
Si 0.0000 0.0000 0.4303  1 Si 2.41
Zn 0.5000 0.5000 0.2500  8 Si 2.74

Values from the calculation:
* V: 20.21 Å³/atom
* relative energy among the computed polymorphs: 0.58 eV per formula unit
* symmetry: Pmmm (47)
* magnetic moment: 0.00 μB/cell
* uncorrected formation energy: 38.9 kJ/mol of atoms


Record 4
The following is a DFT calculation (GGA-PBE) of a geometry-optimized ZnSi2Pb structure.

Lattice parameters (Å, degrees): 4.1320 3.6689 6.5166 103.27 90.00 90.00
Last column: nearest neighbours and their distance in Å.
Element x y z (fractional)
Pb 0.5000 0.7500 0.7500  4 Si 3.12, 2 Zn 3.35
Si 0.0000 0.9253 0.1183  2 Si 2.37-2.60, 2 Zn 2.44
Si 0.0000 0.5747 0.3817  2 Si 2.37-2.60, 2 Zn 2.44
Zn 0.5000 0.2500 0.2500  4 Si 2.44

Values from the calculation:
* V: 24.04 Å³/atom
* relative energy among the computed polymorphs: 0.38 eV per formula unit
* symmetry: P2/m (10)
* magnetic moment: 0.00 μB/cell
* uncorrected formation energy: 34.0 kJ/mol of atoms


Record 5
The following is a DFT calculation (GGA-PBE) of a geometry-optimized ZnSi2Pb structure.

Lattice parameters (Å, degrees): 4.5299 4.5299 5.8081 76.74 76.74 47.76
Last column: nearest neighbours and their distance in Å.
Element x y z (fractional)
Pb 0.2500 0.2500 0.2500  6 Si 3.16-3.22, 4 Zn 3.43
Si 0.0080 0.0080 0.8946  3 Zn 2.48-2.69, 2 Si 2.51
Si 0.4920 0.4920 0.6054  3 Zn 2.48-2.69, 2 Si 2.51
Zn 0.7500 0.7500 0.7500  6 Si 2.48-2.69

Values from the calculation:
* V: 21.35 Å³/atom
* relative energy among the computed polymorphs: 0.33 eV per formula unit
* symmetry: C2/m (12)
* magnetic moment: 0.00 μB/cell
* uncorrected formation energy: 32.8 kJ/mol of atoms


Record 6
The following is a DFT calculation (GGA-PBE) of a geometry-optimized Zn2SiPb structure.

Lattice parameters (Å, degrees): 8.1327 8.1327 8.1327 24.85 24.85 24.85
Last column: nearest neighbours and their distance in Å.
Element x y z (fractional)
Pb 0.4977 0.4977 0.4977  3 Si 3.01, 3 Zn 3.10
Si 0.7364 0.7364 0.7364  3 Zn 2.58
Zn 0.0021 0.0021 0.0021  3 Si 2.58, 3 Zn 2.64
Zn 0.2638 0.2638 0.2638  3 Zn 2.64

Values from the calculation:
* V: 20.88 Å³/atom
* relative energy among the computed polymorphs: 0.45 eV per formula unit
* symmetry: R3m (160)
* magnetic moment: 0.00 μB/cell
* uncorrected formation energy: 33.0 kJ/mol of atoms


Record 7
The following is a DFT calculation (GGA-PBE) of a geometry-optimized ZnSi2Pb structure.

Lattice parameters (Å, degrees): 3.5251 3.5240 6.6760 89.81 90.00 90.00
Last column: nearest neighbours and their distance in Å.
Element x y z (fractional)
Pb 0.5000 0.8748 0.7459  4 Zn 3.15-3.16, 4 Si 3.21-3.22, 4 Pb 3.52-3.53
Si 0.0000 0.8752 0.1483  4 Si 2.49, 2 Zn 2.70-2.71
Si 0.5000 0.3747 0.1494  4 Si 2.49, 2 Zn 2.70
Zn 0.0000 0.3753 0.4564  4 Si 2.70-2.71

Values from the calculation:
* V: 20.73 Å³/atom
* relative energy among the computed polymorphs: 0.15 eV per formula unit
* symmetry: Pm (6)
* magnetic moment: 0.00 μB/cell
* uncorrected formation energy: 28.4 kJ/mol of atoms


Record 8
The following is a DFT calculation (GGA-PBE) of a geometry-optimized Zn2SiPb structure.

Lattice parameters (Å, degrees): 4.9117 4.9117 4.9117 60.00 60.00 60.00
Last column: nearest neighbours and their distance in Å.
Element x y z (fractional)
Pb 0.5000 0.5000 0.5000  4 Si 3.01, 4 Zn 3.01
Si 0.7500 0.7500 0.7500  4 Zn 3.01, 4 Pb 3.01
Zn 0.0000 0.0000 0.0000  4 Zn 3.01, 4 Si 3.01
Zn 0.2500 0.2500 0.2500  4 Pb 3.01, 4 Zn 3.01

Values from the calculation:
* V: 20.95 Å³/atom
* relative energy among the computed polymorphs: 0.71 eV per formula unit
* symmetry: F-43m (216)
* magnetic moment: 0.00 μB/cell
* uncorrected formation energy: 39.3 kJ/mol of atoms


Record 9
The following is a DFT calculation (GGA-PBE) of a geometry-optimized ZnSi2Pb structure.

Lattice parameters (Å, degrees): 4.8353 4.8353 4.8353 60.00 60.00 60.00
Last column: nearest neighbours and their distance in Å.
Element x y z (fractional)
Pb 0.5000 0.5000 0.5000  4 Zn 2.96, 4 Si 2.96
Si 0.0000 0.0000 0.0000  4 Zn 2.96, 4 Si 2.96
Si 0.2500 0.2500 0.2500  4 Pb 2.96, 4 Si 2.96
Zn 0.7500 0.7500 0.7500  4 Si 2.96, 4 Pb 2.96

Values from the calculation:
* V: 19.98 Å³/atom
* relative energy among the computed polymorphs: 1.36 eV per formula unit
* symmetry: F-43m (216)
* magnetic moment: 0.00 μB/cell
* uncorrected formation energy: 57.5 kJ/mol of atoms


Record 10
The following is a DFT calculation (GGA-PBE) of a geometry-optimized Zn2SiPb structure.

Lattice parameters (Å, degrees): 7.6104 7.6104 6.1256 51.60 51.60 90.00
Last column: nearest neighbours and their distance in Å.
Element x y z (fractional)
Pb 0.0000 0.0000 0.0000  2 Si 2.93, 8 Zn 3.10-3.25
Pb 0.7500 0.2500 0.5000  2 Si 2.93, 8 Zn 3.10-3.25
Zn 0.5674 0.1250 0.2500  2 Si 2.51
Zn 0.1826 0.6250 0.2500  2 Si 2.51
Zn 0.3750 0.4326 0.7500  2 Si 2.51
Zn 0.8750 0.8174 0.7500  2 Si 2.51
Si 0.5000 0.5000 0.0000  4 Zn 2.51
Si 0.2500 0.7500 0.5000  4 Zn 2.51

Values from the calculation:
* V: 21.19 Å³/atom
* relative energy among the computed polymorphs: 0.37 eV per formula unit
* symmetry: I-42d (122)
* magnetic moment: 0.00 μB/cell
* uncorrected formation energy: 31.0 kJ/mol of atoms


Record 11
The following is a DFT calculation (GGA-PBE) of a geometry-optimized ZnSi2Pb structure.

Lattice parameters (Å, degrees): 5.5592 5.5592 3.0363 90.00 90.00 119.34
Last column: nearest neighbours and their distance in Å.
Element x y z (fractional)
Pb 0.0000 0.5000 0.5000  2 Zn 2.81, 2 Pb 3.04
Si 0.0000 0.0000 0.0000  4 Si 2.81-3.04
Si 0.5000 0.5000 0.0000  4 Si 2.81-3.04
Zn 0.5000 0.0000 0.5000  2 Pb 2.81, 2 Zn 3.04

Values from the calculation:
* V: 20.45 Å³/atom
* relative energy among the computed polymorphs: 1.34 eV per formula unit
* symmetry: Cmmm (65)
* magnetic moment: 0.00 μB/cell
* uncorrected formation energy: 57.1 kJ/mol of atoms


Record 12
The following is a DFT calculation (GGA-PBE) of a geometry-optimized ZnSi2Pb structure.

Lattice parameters (Å, degrees): 5.7693 5.7693 5.7693 148.27 126.56 63.50
Last column: nearest neighbours and their distance in Å.
Element x y z (fractional)
Pb 0.2500 0.7500 0.5000  4 Zn 3.04, 2 Pb 3.15, 8 Si 3.19-3.36
Si 0.9669 0.9669 0.0000  2 Zn 2.65
Si 0.5331 0.5331 0.0000  2 Zn 2.65
Zn 0.7500 0.2500 0.5000  4 Si 2.65

Values from the calculation:
* V: 20.07 Å³/atom
* relative energy among the computed polymorphs: 1.12 eV per formula unit
* symmetry: Immm (71)
* magnetic moment: 0.00 μB/cell
* uncorrected formation energy: 51.8 kJ/mol of atoms


Record 13
The following is a DFT calculation (GGA-PBE) of a geometry-optimized ZnSi2Pb structure.

Lattice parameters (Å, degrees): 3.3838 3.3970 6.9887 90.00 90.00 90.00
Last column: nearest neighbours and their distance in Å.
Element x y z (fractional)
Pb 0.5000 0.5000 0.7354  4 Zn 3.10, 1 Si 3.36, 4 Pb 3.38-3.40
Si 0.0000 0.0000 0.0948  1 Zn 2.51, 4 Si 2.54
Si 0.5000 0.5000 0.2155  4 Si 2.54
Zn 0.0000 0.0000 0.4544  1 Si 2.51

Values from the calculation:
* V: 20.08 Å³/atom
* relative energy among the computed polymorphs: 0.32 eV per formula unit
* symmetry: Pmm2 (25)
* magnetic moment: 0.00 μB/cell
* uncorrected formation energy: 32.6 kJ/mol of atoms


Record 14
The following is a DFT calculation (GGA-PBE) of a geometry-optimized Zn2SiPb structure.

Lattice parameters (Å, degrees): 4.2590 4.2590 5.9915 70.61 70.61 57.11
Last column: nearest neighbours and their distance in Å.
Element x y z (fractional)
Pb 0.5016 0.5016 0.5039  3 Zn 3.06-3.07, 4 Si 3.21-3.42
Si 0.2873 0.2873 0.1184  3 Zn 2.46-2.47
Zn 0.9886 0.9886 0.0358  3 Si 2.46-2.47, 3 Zn 2.65-2.66
Zn 0.7224 0.7224 0.8419  3 Zn 2.65-2.66, 2 Si 2.78

Values from the calculation:
* V: 21.12 Å³/atom
* relative energy among the computed polymorphs: 0.00 eV per formula unit
* symmetry: Cm (8)
* magnetic moment: 0.00 μB/cell
* uncorrected formation energy: 22.2 kJ/mol of atoms